Entry 1:
The following is a SCAN calculation of a PBEsol-optimized structure of LaSbTe2, from Alexandria via LeMat-Bulk.

abc: 4.516 4.516 6.399
angles: 110.67 110.67 90.00
Fractional positions:
1 Te 0.750 0.250 0.500
2 Te 0.000 0.000 0.000
3 Sb 0.250 0.750 0.500
4 La 0.500 0.500 0.000

Summary:
As for the raw formation energy: -3.56 eV/f.u. The space-group type is I-4m2, No. 119.

=====

Entry 2:
The following is a SCAN calculation of a PBEsol-optimized structure of LaYSb2Te, from Alexandria via LeMat-Bulk.

abc: 5.787 5.787 5.885
angles: 90.00 90.00 90.00
Fractional positions:
1 Sb 0.500 0.000 0.000
2 Sb 0.000 0.500 0.000
3 Y 0.500 0.500 0.500
4 Te 0.000 0.000 0.500
5 La 0.000 0.000 0.000

Summary:
As for the raw formation energy: 0.22 eV/f.u. The space-group type is P4/mmm, No. 123.

=====

Entry 3:
The following is a SCAN calculation of a PBEsol-optimized structure of La3TiSb5, from Alexandria via LeMat-Bulk.

abc: 6.219 9.428 9.428
angles: 120.00 90.00 90.00
Fractional positions:
1 Sb 0.750 0.251 0.000
2 Sb 0.500 0.667 0.333
3 Sb 0.000 0.667 0.333
4 Sb 0.250 0.251 0.251
5 Sb 0.250 0.000 0.749
6 Sb 0.750 0.000 0.251
7 Sb 0.000 0.333 0.667
8 Sb 0.500 0.333 0.667
9 Sb 0.250 0.749 0.000
10 Sb 0.750 0.749 0.749
11 La 0.250 0.617 0.617
12 La 0.250 0.000 0.383
13 La 0.250 0.383 0.000
14 La 0.750 0.000 0.617
15 La 0.750 0.383 0.383
16 La 0.750 0.617 0.000
17 Ti 0.500 0.000 0.000
18 Ti 0.000 0.000 0.000

Summary:
As for the raw formation energy: -10.04 eV/f.u. The space-group type is P6_3/mcm, No. 193.